# Tb3Ho6ErSc2, relaxed, DFT PBE
# E_form in kJ/mol of atoms: 3
# Electronic total energy in eV per atom: -4.846
# Space-group type: C2/m
data_Tb3Ho6ErSc2
_cell_length_a 6.049
_cell_length_b 6.049
_cell_length_c 11.539
_cell_angle_alpha 95.00
_cell_angle_beta 95.00
_cell_angle_gamma 119.95
_space_group_name_H-M_alt 'P 1'
_space_group_IT_number 1
_space_group_name_Hall 'P 1'
loop_
_atom_site_label
_atom_site_type_symbol
_atom_site_fract_x
_atom_site_fract_y
_atom_site_fract_z
Er1 Er 0.000 0.000 0.000
Sc1 Sc 0.333 0.667 0.000
Ho1 Ho 0.254 0.254 0.756
Tb1 Tb 0.833 0.167 0.500
Ho2 Ho 0.417 0.082 0.244
Tb2 Tb 0.500 0.500 0.500
Ho3 Ho 0.746 0.746 0.244
Ho4 Ho 0.082 0.417 0.244
Sc2 Sc 0.667 0.333 0.000
Ho5 Ho 0.583 0.918 0.756
Tb3 Tb 0.167 0.833 0.500
Ho6 Ho 0.918 0.583 0.756

***

# NiIr2Br, relaxed, DFT PBE
# Electronic total energy in eV per atom: -5.396
# ΔE_f (raw) in eV per atom: 0.90
# Energy above the most stable polymorph in this dataset in eV per formula unit: 1.72
# Space-group type: I-42d
data_NiIr2Br
_cell_length_a 3.798
_cell_length_b 3.798
_cell_length_c 9.384
_cell_angle_alpha 78.32
_cell_angle_beta 78.32
_cell_angle_gamma 90.00
_space_group_name_H-M_alt 'P 1'
_space_group_IT_number 1
_space_group_name_Hall 'P 1'
loop_
_atom_site_label
_atom_site_type_symbol
_atom_site_fract_x
_atom_site_fract_y
_atom_site_fract_z
Br1 Br 0.750 0.250 0.500
Ir1 Ir 0.875 0.849 0.750
Ir2 Ir 0.375 0.401 0.750
Ir3 Ir 0.151 0.625 0.250
Ir4 Ir 0.599 0.125 0.250
Ni1 Ni 0.250 0.750 0.500
Ni2 Ni 0.500 0.500 0.000
Br2 Br 0.000 0.000 0.000

***

# CsPO2, relaxed, DFT PBE
# Electronic total energy in eV per atom: -4.428
# ΔE_f (raw) in eV per atom: -0.38
# Space-group type: R-3m
data_CsPO2
_cell_length_a 7.647
_cell_length_b 7.647
_cell_length_c 7.647
_cell_angle_alpha 25.09
_cell_angle_beta 25.09
_cell_angle_gamma 25.09
_space_group_name_H-M_alt 'P 1'
_space_group_IT_number 1
_space_group_name_Hall 'P 1'
loop_
_atom_site_label
_atom_site_type_symbol
_atom_site_fract_x
_atom_site_fract_y
_atom_site_fract_z
P1 P 0.500 0.500 0.500
O1 O 0.877 0.877 0.877
Cs1 Cs 0.000 0.000 0.000
O2 O 0.123 0.123 0.123

***

# AgOsN2, relaxed, DFT PBE
# Electronic total energy in eV per atom: -5.858
# ΔE_f (raw) in eV per atom: 1.83
# Energy above the most stable polymorph in this dataset in eV per formula unit: 4.64
# Space-group type: Fm-3m
data_AgOsN2
_cell_length_a 3.918
_cell_length_b 3.918
_cell_length_c 3.918
_cell_angle_alpha 60.00
_cell_angle_beta 60.00
_cell_angle_gamma 60.00
_space_group_name_H-M_alt 'P 1'
_space_group_IT_number 1
_space_group_name_Hall 'P 1'
loop_
_atom_site_label
_atom_site_type_symbol
_atom_site_fract_x
_atom_site_fract_y
_atom_site_fract_z
Os1 Os 0.500 0.500 0.500
Ag1 Ag 0.000 0.000 0.000
N1 N 0.750 0.750 0.750
N2 N 0.250 0.250 0.250

***

# Pm4Te5F2, relaxed, DFT PBE
# Electronic total energy in eV per atom: -5.399
# ΔE_f (raw) in eV per atom: -1.90
# Space-group type: C2/m
data_Pm4Te5F2
_cell_length_a 4.248
_cell_length_b 8.589
_cell_length_c 11.766
_cell_angle_alpha 123.88
_cell_angle_beta 100.40
_cell_angle_gamma 90.00
_space_group_name_H-M_alt 'P 1'
_space_group_IT_number 1
_space_group_name_Hall 'P 1'
loop_
_atom_site_label
_atom_site_type_symbol
_atom_site_fract_x
_atom_site_fract_y
_atom_site_fract_z
Te1 Te 0.171 0.405 0.342
F1 F 0.539 0.423 0.077
Te2 Te 0.500 0.000 0.000
Pm1 Pm 0.721 0.723 0.441
Pm2 Pm 0.980 0.705 0.959
Te3 Te 0.853 0.160 0.705
Pm3 Pm 0.020 0.295 0.041
Te4 Te 0.147 0.840 0.295
Te5 Te 0.829 0.595 0.658
F2 F 0.461 0.577 0.923
Pm4 Pm 0.279 0.277 0.559

***

# NaCdTc3, relaxed, DFT PBE
# E_form in kJ/mol of atoms: 241
# Electronic total energy in eV per atom: -4.164
# Energy above the most stable polymorph in this dataset in eV per formula unit: 0.63
# Space-group type: Pm-3m
data_NaCdTc3
_cell_length_a 4.926
_cell_length_b 4.926
_cell_length_c 4.926
_cell_angle_alpha 90.00
_cell_angle_beta 90.00
_cell_angle_gamma 90.00
_space_group_name_H-M_alt 'P 1'
_space_group_IT_number 1
_space_group_name_Hall 'P 1'
loop_
_atom_site_label
_atom_site_type_symbol
_atom_site_fract_x
_atom_site_fract_y
_atom_site_fract_z
Tc1 Tc 0.000 0.000 0.500
Tc2 Tc 0.500 0.000 0.000
Tc3 Tc 0.000 0.500 0.000
Na1 Na 0.500 0.500 0.500
Cd1 Cd 0.000 0.000 0.000

***

Repeat the fourth record exactly.
# AgOsN2, relaxed, DFT PBE
# Electronic total energy in eV per atom: -5.858
# ΔE_f (raw) in eV per atom: 1.83
# Energy above the most stable polymorph in this dataset in eV per formula unit: 4.64
# Space-group type: Fm-3m
data_AgOsN2
_cell_length_a 3.918
_cell_length_b 3.918
_cell_length_c 3.918
_cell_angle_alpha 60.00
_cell_angle_beta 60.00
_cell_angle_gamma 60.00
_space_group_name_H-M_alt 'P 1'
_space_group_IT_number 1
_space_group_name_Hall 'P 1'
loop_
_atom_site_label
_atom_site_type_symbol
_atom_site_fract_x
_atom_site_fract_y
_atom_site_fract_z
Os1 Os 0.500 0.500 0.500
Ag1 Ag 0.000 0.000 0.000
N1 N 0.750 0.750 0.750
N2 N 0.250 0.250 0.250